(1)
Material: CaMgSnCl2
Method: DFT, PBE
State: relaxed

a = 4.6794 Å, b = 4.6794 Å, c = 11.1023 Å
α = 90.00°, β = 90.00°, γ = 90.00°
With the nearest neighbours (Å) after each atom.
Fractional coordinates of all 5 atoms:
Ca: 0.0000 0.0000 0.0000  4 Sn 3.31
Mg: 0.0000 0.0000 0.5000  4 Cl 2.34
Sn: 0.5000 0.5000 0.0000  4 Ca 3.31
Cl: 0.0000 0.5000 0.5000  2 Mg 2.34
Cl: 0.5000 0.0000 0.5000  2 Mg 2.34

Results
- space-group type = P4/mmm (123)


(2)
Material: Ca2MgSnCl8
Method: DFT, PBE
State: relaxed

a = 6.2682 Å, b = 8.2921 Å, c = 6.4653 Å
α = 90.00°, β = 90.26°, γ = 90.00°
With the nearest neighbours (Å) after each atom.
Fractional coordinates of all 12 atoms:
Ca: 0.0000 0.2394 0.0000  6 Cl 2.75-2.79
Ca: 0.0000 0.7606 0.0000  6 Cl 2.75-2.79
Mg: 0.5000 0.0000 0.5000  6 Cl 2.53-2.62
Sn: 0.5000 0.5000 0.5000  6 Cl 2.83-2.87
Cl: 0.2144 0.5000 0.8378  2 Ca 2.75, 1 Sn 2.83
Cl: 0.2315 0.0000 0.8097  1 Mg 2.62, 2 Ca 2.75
Cl: 0.2869 0.2231 0.3295  1 Mg 2.53, 1 Ca 2.79
Cl: 0.2869 0.7769 0.3295  1 Mg 2.53, 1 Ca 2.79
Cl: 0.7131 0.2231 0.6705  1 Mg 2.53, 1 Ca 2.79
Cl: 0.7131 0.7769 0.6705  1 Mg 2.53, 1 Ca 2.79
Cl: 0.7685 0.0000 0.1903  1 Mg 2.62, 2 Ca 2.75
Cl: 0.7856 0.5000 0.1622  2 Ca 2.75, 1 Sn 2.83

Results
- space-group type = P2/m (10)


(3)
Material: CaMgSn2Cl
Method: DFT, PBE
State: relaxed

a = 5.2013 Å, b = 5.2013 Å, c = 6.4719 Å
α = 90.00°, β = 90.00°, γ = 90.00°
With the nearest neighbours (Å) after each atom.
Fractional coordinates of all 5 atoms:
Ca: 0.0000 0.0000 0.0000  2 Mg 3.24
Mg: 0.0000 0.0000 0.5000  4 Sn 2.60
Sn: 0.0000 0.5000 0.5000  2 Mg 2.60
Sn: 0.5000 0.0000 0.5000  2 Mg 2.60
Cl: 0.5000 0.5000 0.0000  4 Ca 3.68

Results
- space-group type = P4/mmm (123)


(4)
Material: SrCa2MgCl8
Method: DFT, PBE
State: relaxed

a = 6.3637 Å, b = 8.3414 Å, c = 6.4509 Å
α = 90.00°, β = 90.61°, γ = 90.00°
With the nearest neighbours (Å) after each atom.
Fractional coordinates of all 12 atoms:
Sr: 0.0000 0.0000 0.0000  6 Cl 2.87-2.91
Ca: 0.5000 0.2625 0.5000  6 Cl 2.76-2.78
Ca: 0.5000 0.7375 0.5000  6 Cl 2.76-2.78
Mg: 0.0000 0.5000 0.0000  6 Cl 2.53-2.64
Cl: 0.2027 0.2796 0.1825  1 Mg 2.53, 1 Ca 2.78
Cl: 0.2027 0.7204 0.1825  1 Mg 2.53, 1 Ca 2.78
Cl: 0.2797 0.5000 0.7007  1 Mg 2.64, 2 Ca 2.76
Cl: 0.3020 0.0000 0.6728  2 Ca 2.77, 1 Sr 2.87
Cl: 0.6980 0.0000 0.3272  2 Ca 2.77, 1 Sr 2.87
Cl: 0.7203 0.5000 0.2993  1 Mg 2.64, 2 Ca 2.76
Cl: 0.7973 0.2796 0.8175  1 Mg 2.53, 1 Ca 2.78
Cl: 0.7973 0.7204 0.8175  1 Mg 2.53, 1 Ca 2.78

Results
- space-group type = P2/m (10)


How do the records compare in formation energy (no corrections)? In the order shown, they have -3.7 -22.7 -0.1 -27.1 eV/f.u..
How do the records compare in energy? In the order shown, they have -2.994 -3.919 -2.712 -4.093 eV per atom.